The following is a PBE calculation of a relaxed structure of TbPr2Sm3P6, from Alexandria.

The structure in POSCAR format:
```
TbPr2Sm3P6
1.0
4.1298 0.0000 0.0000
0.0000 8.2498 0.2942
-2.0649 -2.3777 8.6745
Pr Tb P Sm
2 1 6 3
Cartesian
2.0649 3.9224 5.9968 Pr
0.0000 1.9497 2.9719 Pr
2.0649 0.0000 0.0000 Tb
0.0000 6.2156 0.2510 P
2.0649 4.0525 3.0415 P
0.0000 6.0099 6.0807 P
2.0649 -0.3435 8.7177 P
2.0649 -0.1378 2.8881 P
0.0000 1.8196 5.9272 P
2.0649 -0.2154 5.8288 Sm
0.0000 6.0875 3.1399 Sm
2.0649 4.1249 0.1471 Sm
```

Calculated values
ΔH_f (0 K): -1.55 eV/atom
Fermi-level density of states: 1.7 states/eV/f.u.

***

The following is a PBE calculation of a relaxed structure of Pm3Th4ScSe8, from Alexandria.

The structure in POSCAR format:
```
Pm3Th4ScSe8
1.0
8.2007 0.0000 0.0000
0.0000 8.4564 0.1750
-4.1003 -4.0950 5.8004
Th Pm Se Sc
4 3 8 1
Cartesian
4.1003 0.0000 0.0000 Th
-2.0502 -2.0475 2.9002 Th
0.0000 0.0000 0.0000 Th
2.0502 -2.0475 2.9002 Th
4.1003 4.2282 0.0875 Pm
2.0502 2.1807 2.9877 Pm
-2.0502 2.1807 2.9877 Pm
0.0000 0.0973 2.9656 Se
1.9784 2.2137 0.0634 Se
-2.1219 2.1478 5.9119 Se
0.0000 4.2670 2.9096 Se
4.1003 4.2642 3.0097 Se
4.1003 0.0945 3.0657 Se
2.1219 2.1478 5.9119 Se
6.2223 2.2137 0.0634 Se
0.0000 4.2282 0.0875 Sc
```

Calculated values
Fermi-level density of states: 6.0 states/eV/f.u.
raw formation energy: -1.637 eV/atom

***

The following is a PBE calculation of a relaxed structure of Ho2Tm5Sc4, from Alexandria.

The structure in POSCAR format:
```
Ho2Tm5Sc4
1.0
-3.3003 -1.2329 -0.1544
1.1595 -2.0155 -8.6893
4.6077 -7.8794 4.7014
Ho Sc Tm
2 4 5
Cartesian
2.2532 -5.9337 -0.7807 Ho
0.2136 -5.1941 -3.3616 Ho
0.8463 -1.9540 -2.4867 Sc
3.0362 -8.2736 1.1677 Sc
-0.5694 -2.8542 -5.3101 Sc
1.6206 -9.1738 -1.6557 Sc
-0.4219 -3.8763 -0.2996 Tm
-1.6501 -0.6165 -0.0772 Tm
0.4372 -6.4753 2.0907 Tm
2.0297 -4.6524 -6.2331 Tm
2.8888 -7.2515 -3.8428 Tm
```

Calculated values
ΔH_f (0 K): 0.08 eV/atom
excess energy over the best structure of this formula in the dataset: 0 meV/atom
Fermi-level density of states: 14.3 states/eV/f.u.

***

The following is a PBE calculation of a relaxed structure of PaSi3Ru5, from Alexandria.

The structure in POSCAR format:
```
PaSi3Ru5
1.0
-2.4141 2.3545 1.8293
-2.6278 -4.7094 -1.4293
3.6438 -5.7317 12.1863
Si Ru Pa
6 10 2
Cartesian
1.3209 -5.4854 12.8266 Si
-0.4234 -2.7417 6.9930 Si
-0.9747 -5.3449 5.5932 Si
2.4223 -4.5848 9.0980 Si
-3.8204 -3.5017 3.4883 Si
-2.7190 -2.6012 -0.2403 Si
-3.0275 -1.5746 2.0542 Ru
-1.3604 -7.1395 7.3942 Ru
0.6696 -5.0023 7.3224 Ru
1.8219 -2.8658 6.0931 Ru
-2.0678 -3.0843 5.2639 Ru
1.6294 -6.5119 10.5321 Ru
-0.7830 0.2252 2.6997 Ru
-0.0378 -0.9470 5.1920 Ru
0.0000 0.0000 0.0000 Ru
-0.6151 -8.3118 9.8866 Ru
-0.8605 -3.0645 2.8088 Pa
-0.5377 -5.0221 9.7774 Pa
```

Calculated values
Fermi-level density of states: 7.9 states/eV/f.u.
raw formation energy: -0.360 eV/atom